# PBE with a Hubbard U NaCr2TeO6, relaxed
data_NaCr2TeO6
_chemical_formula_sum 'Na1 Cr2 Te1 O6'
_symmetry_space_group_name_H-M 'P 1'
_symmetry_Int_Tables_number 1
_cell_length_a 5.242
_cell_length_b 5.294
_cell_length_c 5.697
_cell_angle_alpha 65.26
_cell_angle_beta 88.92
_cell_angle_gamma 60.58
loop_
_symmetry_equiv_pos_as_xyz
'x,y,z'
loop_
_atom_site_label
_atom_site_fract_x
_atom_site_fract_y
_atom_site_fract_z
Na1 0.000 0.000 0.000
Cr1 0.220 0.572 0.617
Cr2 0.731 0.536 0.159
Te1 0.537 0.936 0.574
O1 0.182 0.018 0.378
O2 0.333 0.109 0.808
O3 0.469 0.382 0.380
O4 0.566 0.520 0.825
O5 0.818 0.744 0.375
O6 0.918 0.732 0.827
# Total DFT energy (no corrections), eV per atom: -6.45
# Calculated volume, Å³/cell: 122
# Magnetic moment, μB per formula unit: 7.00
# Crystal system: triclinic